No. 1
Density functional theory data (PBE-GGA) for a relaxed Ho3ZrC2S2 crystal.

a b c (Å): 3.6063 3.6063 12.7008
angles (deg): 90.00 90.00 120.00
Space group P3m1 (No. 156)
Unique sites:
Ho 0.0000 0.0000 0.0000 (multiplicity 1)
Ho 0.0000 0.0000 0.2954 (multiplicity 1)
Ho 0.3333 0.6667 0.7893 (multiplicity 1)
Zr 0.3333 0.6667 0.4984 (multiplicity 1)
C 0.6667 0.3333 0.4070 (multiplicity 1)
C 0.6667 0.3333 0.8927 (multiplicity 1)
S 0.0000 0.0000 0.6355 (multiplicity 1)
S 0.3333 0.6667 0.1494 (multiplicity 1)

* ρ: 7.8 Mg/m³
* electronic total energy: -0.5434 Ry per atom



No. 2
Density functional theory data (PBE-GGA) for a relaxed HoScTeC crystal.

a b c (Å): 3.6949 3.6949 13.5933
angles (deg): 90.00 90.00 120.00
Space group P-6m2 (No. 187)
Unique sites:
Ho 0.0000 0.0000 0.1659 (multiplicity 2)
Sc 0.6667 0.3333 0.3485 (multiplicity 2)
Te 0.0000 0.0000 0.5000 (multiplicity 1)
Te 0.6667 0.3333 0.0000 (multiplicity 1)
C 0.3333 0.6667 0.2610 (multiplicity 2)

* ρ: 7.2 Mg/m³
* energy above the lowest structure with this stoichiometry: 1 meV per atom



No. 3
Density functional theory data (PBE-GGA) for a relaxed HoScTeC crystal.

a b c (Å): 3.6921 3.6921 13.6061
angles (deg): 90.00 90.00 120.00
Space group P-3m1 (No. 164)
Unique sites:
Ho 0.3333 0.6667 0.0966 (multiplicity 2)
Sc 0.3333 0.6667 0.4142 (multiplicity 2)
Te 0.3333 0.6667 0.7369 (multiplicity 2)
C 0.0000 0.0000 0.0000 (multiplicity 1)
C 0.0000 0.0000 0.5000 (multiplicity 1)

* ρ: 7.2 Mg/m³
* energy above the lowest structure with this stoichiometry: 3 meV per atom



No. 4
Density functional theory data (PBE-GGA) for a relaxed HoScTeC crystal.

a b c (Å): 3.6957 3.6957 13.5966
angles (deg): 90.00 90.00 120.00
Space group P6_3mc (No. 186)
Unique sites:
Ho 0.3333 0.6667 0.0000 (multiplicity 2)
Sc 0.3333 0.6667 0.6826 (multiplicity 2)
Te 0.3333 0.6667 0.3333 (multiplicity 2)
C 0.0000 0.0000 0.0949 (multiplicity 2)

* ρ: 7.2 Mg/m³
* energy above the lowest structure with this stoichiometry: 0 meV per atom



| no. | V (Å³/atom) |
| --- | --- |
| 1 | 17.88 |
| 2 | 20.09 |
| 3 | 20.08 |
| 4 | 20.10 |